# 1
{
  "formula": "NiSnH",
  "functional": "PBE-GGA",
  "state": "relaxed",
  "lattice_angstrom": [[3.501, 0.000, 0.000], [0.000, 3.501, 0.000], [0.000, 0.000, 6.605]],
  "species": ["Ni", "Ni", "Sn", "Sn", "H", "H"],
  "frac_coords": [[0.250, 0.750, 0.000], [0.750, 0.250, 0.000], [0.250, 0.250, 0.329], [0.750, 0.750, 0.671], [0.250, 0.250, 0.936], [0.750, 0.750, 0.064]],
  "sg": "P4/nmm (129)",
  "relative_energy_mev_per_atom": 0
}

---

# 2
{
  "formula": "KNaLiGe",
  "functional": "PBE-GGA",
  "state": "relaxed",
  "lattice_angstrom": [[0.000, 3.715, 3.715], [3.715, 0.000, 3.715], [3.715, 3.715, 0.000]],
  "species": ["K", "Na", "Li", "Ge"],
  "frac_coords": [[0.000, 0.000, 0.000], [0.250, 0.250, 0.250], [0.750, 0.750, 0.750], [0.500, 0.500, 0.500]],
  "sg": "F-43m (216)",
  "formation_enthalpy_0k_ev_per_atom": 0.0295
}

---

# 3
{
  "formula": "MgBeHS",
  "functional": "PBE-GGA",
  "state": "relaxed",
  "lattice_angstrom": [[3.427, 0.000, 0.000], [-0.018, 3.531, 0.000], [-0.001, -0.225, 4.482]],
  "species": ["Mg", "Be", "H", "S"],
  "frac_coords": [[0.000, 0.000, 0.000], [0.505, 0.493, 0.334], [0.506, 0.419, 0.026], [0.005, 0.479, 0.568]],
  "sg": "P1 (1)",
  "relative_energy_mev_per_atom": 4
}

---

# 4
{
  "formula": "TcSeCl",
  "functional": "PBE-GGA",
  "state": "relaxed",
  "lattice_angstrom": [[6.259, -1.583, 0.000], [6.259, 1.583, 0.000], [-5.746, 0.000, 7.517]],
  "species": ["Tc", "Tc", "Se", "Se", "Cl", "Cl"],
  "frac_coords": [[0.227, 0.227, 0.103], [0.773, 0.773, 0.897], [0.433, 0.433, 0.130], [0.567, 0.567, 0.870], [0.210, 0.210, 0.660], [0.790, 0.790, 0.340]],
  "e_form_raw_ev_per_fu": -1.29,
  "sg": "C2/m (12)",
  "relative_energy_mev_per_atom": 0
}

---

# 5
{
  "formula": "Nb3IO",
  "functional": "PBE-GGA",
  "state": "relaxed",
  "lattice_angstrom": [[5.020, 0.000, 0.000], [0.000, 5.020, 0.000], [0.000, 0.000, 5.020]],
  "species": ["Nb", "Nb", "Nb", "I", "O"],
  "frac_coords": [[0.000, 0.000, 0.500], [0.000, 0.500, 0.000], [0.500, 0.000, 0.000], [0.000, 0.000, 0.000], [0.500, 0.500, 0.500]],
  "e_form_raw_ev_per_fu": 11.13,
  "sg": "Pm-3m (221)",
  "relative_energy_mev_per_atom": 2355
}

---

# 6
{
  "formula": "YbSi2Au2",
  "functional": "PBE-GGA",
  "state": "relaxed",
  "lattice_angstrom": [[-2.166, 2.166, 5.065], [2.166, -2.166, 5.065], [2.166, 2.166, -5.065]],
  "species": ["Yb", "Si", "Si", "Au", "Au"],
  "frac_coords": [[0.000, 0.000, 0.000], [0.387, 0.387, 0.000], [0.613, 0.613, 0.000], [0.250, 0.750, 0.500], [0.750, 0.250, 0.500]],
  "e_form_raw_ev_per_fu": -2.58,
  "sg": "I4/mmm (139)"
}

---

# 7
{
  "formula": "HfCu2F",
  "functional": "PBE-GGA",
  "state": "relaxed",
  "lattice_angstrom": [[0.000, 3.098, 3.098], [3.098, 0.000, 3.098], [3.098, 3.098, 0.000]],
  "species": ["Hf", "Cu", "Cu", "F"],
  "frac_coords": [[0.000, 0.000, 0.000], [0.250, 0.250, 0.250], [0.750, 0.750, 0.750], [0.500, 0.500, 0.500]],
  "e_form_raw_ev_per_fu": -0.30,
  "sg": "Fm-3m (225)",
  "relative_energy_mev_per_atom": 522
}

---

# 8
{
  "formula": "Ga3MoAu",
  "functional": "PBE-GGA",
  "state": "relaxed",
  "lattice_angstrom": [[4.897, 0.000, 0.000], [0.000, 4.897, 0.000], [0.000, 0.000, 4.897]],
  "species": ["Ga", "Ga", "Ga", "Mo", "Au"],
  "frac_coords": [[0.000, 0.000, 0.500], [0.000, 0.500, 0.000], [0.500, 0.000, 0.000], [0.000, 0.000, 0.000], [0.500, 0.500, 0.500]],
  "sg": "Pm-3m (221)",
  "relative_energy_mev_per_atom": 0,
  "formation_enthalpy_0k_ev_per_atom": 0.6137
}

---

# 9
{
  "formula": "Tl2HgSb",
  "functional": "PBE-GGA",
  "state": "relaxed",
  "lattice_angstrom": [[-1.724, 2.717, 6.469], [1.724, -2.717, 6.469], [1.724, 2.717, -6.469]],
  "species": ["Tl", "Tl", "Hg", "Sb"],
  "frac_coords": [[0.241, 0.241, 0.000], [0.759, 0.759, 0.000], [0.500, 0.500, 0.000], [0.000, 0.000, 0.000]],
  "e_form_raw_ev_per_fu": 0.45,
  "sg": "Immm (71)",
  "relative_energy_mev_per_atom": 121
}

---

# 10
{
  "formula": "RbYTi",
  "functional": "PBE-GGA",
  "state": "relaxed",
  "lattice_angstrom": [[3.563, 0.000, 0.000], [0.000, 4.880, 0.000], [1.692, 0.046, 13.896]],
  "species": ["Rb", "Rb", "Y", "Y", "Ti", "Ti"],
  "frac_coords": [[0.000, 0.000, 0.000], [0.327, 0.507, 0.304], [0.182, 0.504, 0.611], [0.720, 0.005, 0.531], [0.119, 0.003, 0.740], [0.599, 0.503, 0.786]],
  "sg": "P1 (1)",
  "relative_energy_mev_per_atom": 274,
  "formation_enthalpy_0k_ev_per_atom": 0.5471
}

---

# 11
{
  "formula": "TbSb2Pd",
  "functional": "PBE-GGA",
  "state": "relaxed",
  "lattice_angstrom": [[4.745, 0.000, 0.000], [0.000, 4.745, 0.000], [0.000, 0.000, 4.088]],
  "species": ["Tb", "Sb", "Sb", "Pd"],
  "frac_coords": [[0.000, 0.000, 0.000], [0.000, 0.500, 0.500], [0.500, 0.000, 0.500], [0.500, 0.500, 0.000]],
  "e_form_raw_ev_per_fu": -2.56,
  "sg": "P4/mmm (123)",
  "relative_energy_mev_per_atom": 143
}

---

# 12
{
  "formula": "CsH2S4",
  "functional": "PBE-GGA",
  "state": "relaxed",
  "lattice_angstrom": [[4.660, 0.000, 0.000], [2.176, 4.585, 0.000], [0.816, -0.247, 8.995]],
  "species": ["Cs", "H", "H", "S", "S", "S", "S"],
  "frac_coords": [[0.000, 0.000, 0.000], [0.332, 0.437, 0.687], [0.668, 0.563, 0.313], [0.256, 0.377, 0.225], [0.347, 0.650, 0.354], [0.653, 0.350, 0.646], [0.744, 0.623, 0.775]],
  "sg": "P-1 (2)",
  "dft_energy_ev_per_atom": -3.680
}